Record 1
VASP calculation (PBE-GGA) on an optimized crystal structure of PmTlPb2.

Summary:
The energy above the most stable polymorph in this dataset is 0.1290 eV/atom. The raw total energy is -3.854 eV per atom. Its space group is P4/mmm (123). The calculation puts the energy of formation from the pure elements at -0.221 eV per atom.

Structure (POSCAR):
```
PmTlPb2
1.0
4.275 0.000 0.000
0.000 4.275 0.000
0.000 0.000 6.693
Pb Tl Pm
2 1 1
Cartesian
0.000 0.000 1.739
0.000 0.000 4.954
2.138 2.138 0.000
2.138 2.138 3.346
```


Record 2
VASP calculation (PBE-GGA) on an optimized crystal structure of LiYZn2Ag4.

Summary:
The raw total energy is -2.994 eV per atom. Its space group is R-3m (166). The calculation puts the energy of formation from the pure elements at -0.202 eV per atom.

Structure (POSCAR):
```
LiYZn2Ag4
1.0
-0.216 2.397 -3.952
-1.870 -1.921 -3.771
-7.707 2.932 -0.509
Zn Ag Y Li
2 4 1 1
Cartesian
-2.418 0.840 -2.067
-7.376 2.568 -6.165
-4.946 1.840 -1.322
-4.848 1.568 -6.909
-2.636 0.810 -4.782
-7.158 2.598 -3.450
0.000 0.000 0.000
-4.897 1.704 -4.116
```


Record 3
VASP calculation (PBE-GGA) on an optimized crystal structure of SrAgRuF2.

Summary:
The raw total energy is -3.962 eV per atom. The calculation puts the uncorrected formation energy at -218 kJ/mol of formula units. Its space group is P4/mmm (123).

Structure (POSCAR):
```
SrAgRuF2
1.0
-4.551 0.388 -0.100
-0.447 -5.124 0.497
-0.062 0.446 4.547
F Ru Ag Sr
2 1 1 1
Cartesian
-0.031 0.223 2.273
-2.276 0.194 -0.050
-0.224 -2.562 0.248
0.000 0.000 0.000
-2.530 -2.145 2.472
```


Record 4
VASP calculation (PBE-GGA) on an optimized crystal structure of Y3WSe.

Summary:
The energy above the most stable polymorph in this dataset is 0.0504 eV/atom. The raw total energy is -6.797 eV per atom. The calculation puts the uncorrected formation energy at 178 kJ/mol of formula units. Its space group is Pm-3m (221).

Structure (POSCAR):
```
Y3WSe
1.0
5.392 0.000 0.000
0.000 5.392 0.000
0.000 0.000 5.392
Y Se W
3 1 1
Cartesian
0.000 0.000 2.696
2.696 0.000 0.000
0.000 2.696 0.000
2.696 2.696 2.696
0.000 0.000 0.000
```


Record 5
VASP calculation (PBE-GGA) on an optimized crystal structure of Na5U5O18.

Summary:
The raw total energy is -8.209 eV per atom. The calculation puts the uncorrected formation energy at -7484 kJ/mol of formula units. Its space group is Cc (9).

Structure (POSCAR):
```
Na5U5O18
1.0
-3.890 0.655 11.030
0.304 -10.721 -4.710
5.940 -1.873 2.936
O U Na
36 10 10
Cartesian
1.763 -6.600 1.371
1.039 -4.367 4.709
0.134 -10.159 3.631
4.436 -6.461 4.576
-0.527 -10.334 6.393
2.882 -1.999 10.941
-2.768 -3.396 7.721
-0.717 -0.079 5.793
-2.065 -5.500 4.702
3.820 -3.670 4.895
-1.448 -8.291 4.381
2.270 -10.050 5.804
2.897 -1.627 2.885
1.260 -3.845 1.889
-1.070 -7.936 1.581
2.236 -1.804 5.647
0.519 -4.267 -0.525
2.830 -8.981 -1.483
3.761 -4.723 2.350
3.086 -11.883 3.484
1.851 -7.696 9.803
2.210 -9.779 1.653
-0.460 -2.982 10.760
-1.865 -5.570 9.455
1.332 -7.595 4.567
3.439 -4.027 7.695
0.100 -1.913 3.474
0.241 -1.540 0.240
0.606 -5.362 7.906
0.160 -2.183 7.625
1.112 -8.116 7.387
5.138 -8.567 1.555
4.235 -6.393 -0.178
2.130 -10.422 9.035
-0.511 -9.963 -1.664
-1.390 -7.241 6.927
2.572 -5.112 0.552
0.411 -8.979 5.483
1.960 -2.983 3.794
3.008 -8.903 8.351
-0.637 -3.059 0.925
-1.892 -9.387 2.452
1.033 -0.621 6.994
0.160 -5.373 -2.345
4.262 -2.576 6.825
-0.202 -6.850 8.725
3.284 -8.111 3.077
1.561 -10.562 -3.089
0.748 -8.355 -0.024
-1.770 -1.524 9.423
0.807 -1.394 12.360
-0.910 -3.854 6.203
-0.083 -6.099 3.095
2.455 -5.865 6.183
4.140 -10.437 -0.146
1.624 -3.610 9.304
```


Record 6
VASP calculation (PBE-GGA) on an optimized crystal structure of CaDy6Ho2.

Summary:
The raw total energy is -4.078 eV per atom. Its space group is C2/c (15). The calculation puts the energy of formation from the pure elements at 0.230 eV per atom.

Structure (POSCAR):
```
CaDy6Ho2
1.0
7.131 2.225 -4.679
0.398 7.459 -4.679
-0.744 -0.957 12.294
Dy Ho Ca
12 4 2
Cartesian
2.001 2.662 2.867
1.029 1.319 -0.306
5.646 4.624 -3.169
4.784 6.064 0.068
6.133 7.883 -2.906
0.652 0.843 5.841
1.139 4.102 6.104
2.718 6.133 2.977
5.756 7.408 3.241
4.067 2.594 -0.043
5.070 6.610 -6.079
1.715 2.116 9.013
3.731 2.098 6.032
1.486 4.612 -0.114
3.054 6.628 -3.098
5.299 4.114 3.049
-0.112 6.704 4.541
6.897 2.023 -1.606
```


| no. | Fermi-level density of states (states/eV/f.u.) |
| --- | --- |
| 1 | 4.2 |
| 2 | 3.3 |
| 3 | 3.8 |
| 4 | 7.0 |
| 5 | 10.5 |
| 6 | 11.4 |